VASP calculation (PBE) on an optimized crystal structure of Cr2Cu.

```
3
Lattice="-4.0915 -1.0237 -0.0102 0.8719 -3.5064 2.1757 -0.3587 1.4094 2.4151" Properties=species:S:1:pos:R:3 pbc="T T T"
Cr 0.2566 -1.0485 2.2954
Cr -2.2251 0.1928 1.2025
Cu 0.0000 0.0000 0.0000
```

Output
- space-group type = P4/mmm
- ρ (Mg/m³) = 5.55
- energy (Ha/atom) = -0.246

***

VASP calculation (PBE) on an optimized crystal structure of AsWSe2.

```
8
Lattice="6.3411 0.0000 0.0000 0.0000 6.3411 0.0000 3.1705 3.1705 5.0752" Properties=species:S:1:pos:R:3 pbc="T T T"
As 3.1705 3.1705 0.0000
As 3.1705 6.3411 2.5376
Se 5.0212 1.5853 1.2688
Se 1.3199 4.7558 1.2688
Se 4.7558 4.4904 3.8064
Se 7.9263 8.1917 3.8064
W 0.0000 0.0000 0.0000
W 6.3411 3.1705 2.5376
```

Output
- space-group type = I-42d
- ρ (Mg/m³) = 6.78
- energy (Ha/atom) = -0.203

***

VASP calculation (PBE) on an optimized crystal structure of TaV5S2.

```
8
Lattice="-2.3756 1.5953 1.2488 -2.3321 0.9557 -5.6570 -0.6911 -6.1482 2.6362" Properties=species:S:1:pos:R:3 pbc="T T T"
Ta 0.0000 0.0000 0.0000
V -1.1660 0.4778 -2.8285
V -2.6026 -0.2853 -0.6835
V -2.7962 -3.3119 -1.0885
V -3.7595 0.1888 -3.4899
V -1.6393 -3.7860 1.7179
S -2.4630 -1.5977 -2.6445
S -2.9358 -1.9996 0.8725
```

Output
- space-group type = Immm
- ρ (Mg/m³) = 7.45
- energy (Ha/atom) = -0.320

***

VASP calculation (PBE) on an optimized crystal structure of CaZrSi.

```
3
Lattice="3.3512 0.0000 0.0000 -1.6756 2.9023 0.0000 0.0000 0.0000 7.3465" Properties=species:S:1:pos:R:3 pbc="T T T"
Ca 0.0000 0.0000 0.2614
Si 1.6756 0.9674 2.5184
Zr 0.0000 1.9348 4.5667
```

Output
- space-group type = P3m1
- ρ (Mg/m³) = 3.70
- energy (Ha/atom) = -0.194

***

VASP calculation (PBE) on an optimized crystal structure of CeAlGaPt3.

```
12
Lattice="5.6841 0.0000 0.0000 0.0000 5.6945 0.0000 0.0000 -2.8472 7.9400" Properties=species:S:1:pos:R:3 pbc="T T T"
Ce 4.2631 0.0000 4.6137
Ce 1.4210 2.8472 3.3263
Al 1.4210 0.0000 1.4555
Al 4.2631 2.8472 6.4845
Ga 1.4210 0.0000 6.4078
Ga 4.2631 2.8472 1.5322
Pt 1.4210 0.0000 3.9191
Pt 0.0000 1.4282 0.0000
Pt 2.8420 4.2663 0.0000
Pt 2.8420 1.4282 0.0000
Pt 0.0000 4.2663 0.0000
Pt 4.2631 2.8472 4.0209
```

Output
- space-group type = Cmcm
- ρ (Mg/m³) = 10.62
- energy (Ha/atom) = -0.218

***

VASP calculation (PBE) on an optimized crystal structure of KTcPd.

```
6
Lattice="12.2596 0.0000 0.0006 10.8517 2.1194 -3.3798 -10.8517 2.1194 3.3798" Properties=species:S:1:pos:R:3 pbc="T T T"
K 3.7023 2.1194 -0.2203
K 8.5573 2.1194 0.2210
Tc 0.4481 2.1194 1.1350
Tc 11.8115 2.1194 -1.1343
Pd 2.6895 2.1194 2.8464
Pd 9.5701 2.1194 -2.8458
```

Output
- energy relative to the lowest polymorph listed for this composition (meV/atom) = 2
- space-group type = C2/m
- ρ (Mg/m³) = 4.60

***

VASP calculation (PBE) on an optimized crystal structure of Be3In.

```
4
Lattice="3.7063 0.0037 0.0068 1.8523 3.2292 0.0855 0.0389 1.4062 4.4891" Properties=species:S:1:pos:R:3 pbc="T T T"
Be 0.0194 0.7031 2.2446
Be 3.7250 2.8348 2.5557
Be 1.8726 1.8043 2.0258
In 1.8532 0.0019 0.0034
```

Output
- energy relative to the lowest polymorph listed for this composition (meV/atom) = 60
- space-group type = P-1
- ρ (Mg/m³) = 4.42

***

VASP calculation (PBE) on an optimized crystal structure of ReMo3W.

```
5
Lattice="-3.4683 2.5751 -1.7451 1.2968 -1.1789 -4.3167 -2.8275 -3.6993 0.1608" Properties=species:S:1:pos:R:3 pbc="T T T"
Re 0.0000 0.0000 0.0000
Mo 0.6484 -0.5894 -2.1584
Mo -1.4138 -1.8496 0.0804
Mo -1.7341 1.2876 -0.8726
W -2.4995 -1.1515 -2.9505
```

Output
- energy relative to the lowest polymorph listed for this composition (meV/atom) = 1632
- space-group type = Pm-3m
- ρ (Mg/m³) = 10.80

***

VASP calculation (PBE) on an optimized crystal structure of La2GaRh2.

```
5
Lattice="4.0323 0.0000 0.0000 0.0000 4.0323 0.0000 2.0162 2.0162 7.6062" Properties=species:S:1:pos:R:3 pbc="T T T"
Rh 4.0323 2.0162 3.8031
Rh 2.0162 4.0323 3.8031
Ga 0.0000 0.0000 0.0000
La 2.0162 2.0162 1.8198
La 4.0323 4.0323 5.7864
```

Output
- space-group type = I4/mmm
- ρ (Mg/m³) = 7.43
- energy (Ha/atom) = -0.217

***

VASP calculation (PBE) on an optimized crystal structure of NiTe2H.

```
4
Lattice="1.8762 0.0000 8.2488 -0.9381 1.6248 8.2488 -0.9381 -1.6248 8.2488" Properties=species:S:1:pos:R:3 pbc="T T T"
Ni 0.0000 0.0000 0.0000
Te 0.0000 0.0000 22.3084
Te 0.0000 0.0000 2.4380
H 0.0000 0.0000 12.3732
```

Output
- energy relative to the lowest polymorph listed for this composition (meV/atom) = 683
- space-group type = R-3m
- ρ (Mg/m³) = 6.93

***

Listing magnetization for the structures above in their given order: 2.38; 0.00; 0.00; 0.06; 0.15; 0.00; 0.00; 0.00; 0.00; 0.09 μB/atom.